{
  "formula": "LuGaRu",
  "functional": "PBE",
  "state": "relaxed",
  "spacegroup": "No. 187",
  "total_magnetization_mub_per_cell": 0.000,
  "e_form_kj_per_mol_atoms": -49,
  "dft_energy_ry_per_atom": -0.449,
  "cell": [[-2.320, -0.730, 2.456], [-2.937, -0.930, -3.052], [2.599, -3.116, 1.529]],
  "species": ["Ru", "Lu", "Ga"],
  "frac_coords": [[0.167, 0.333, 0.667], [0.667, 0.667, 0.333], [0.167, 0.000, 0.000]]
}